Entry 1:
Compound: AlAg3H
Source: Alexandria
Functional: GGA-PBEsol
Structure: relaxed

The structure belongs to space group Pm-3m (No. 221); the cell edges are 4.093, 4.093 and 4.093 Å and the angles 90.00°, 90.00° and 90.00°. Symmetry generates all atoms from Al at (0.000, 0.000, 0.000), Ag at (0.000, 0.500, 0.500) and H at (0.500, 0.500, 0.500).

Its total magnetization is 0.0 μB per cell. The total energy comes out at -3.33 eV/atom.



Entry 2:
Compound: BP2PbO
Source: Alexandria
Functional: GGA-PBEsol
Structure: relaxed

The structure belongs to space group P4/mmm (No. 123); the cell edges are 5.387, 5.387 and 2.731 Å and the angles 90.00°, 90.00° and 90.00°. Symmetry generates all atoms from B at (0.000, 0.000, 0.000), P at (0.000, 0.500, 0.000), Pb at (0.500, 0.500, 0.500) and O at (0.000, 0.000, 0.500).

Its total magnetization is 0.0 μB per cell. The total energy comes out at -5.40 eV/atom. The calculation puts the energy above the most stable polymorph in this dataset at 0 meV per atom. The uncorrected formation energy is 166 meV per atom.



Entry 3:
Compound: Ba5Au3
Source: Alexandria
Functional: GGA-PBEsol
Structure: relaxed

The structure belongs to space group I4/mcm (No. 140); the cell edges are 12.697, 12.697 and 7.154 Å and the angles 90.00°, 90.00° and 90.00°. Symmetry generates all atoms from Ba at (0.000, 0.500, 0.250), Ba at (0.084, 0.207, 0.000), Au at (0.000, 0.000, 0.250) and Au at (0.155, 0.345, 0.500).

Its total magnetization is 0.0 μB per cell. The formation energy is -10.6 kcal/mol of atoms. The total energy comes out at -3.27 eV/atom. The calculation puts the energy above the most stable polymorph in this dataset at 39 meV per atom.



Entry 4:
Compound: Ta2H2Au
Source: Alexandria
Functional: GGA-PBEsol
Structure: relaxed

The structure belongs to space group I4/mmm (No. 139); the cell edges are 3.558, 3.558 and 8.958 Å and the angles 90.00°, 90.00° and 90.00°. Symmetry generates all atoms from Ta at (0.000, 0.000, 0.162), H at (0.000, 0.500, 0.250) and Au at (0.000, 0.000, 0.500).

Its total magnetization is 0.0 μB per cell. The total energy comes out at -7.22 eV/atom.



Entry 5:
Compound: LiAgAu2
Source: Alexandria
Functional: GGA-PBEsol
Structure: relaxed

The structure belongs to space group Fm-3m (No. 225); the cell edges are 6.356, 6.356 and 6.356 Å and the angles 90.00°, 90.00° and 90.00°. Symmetry generates all atoms from Li at (0.000, 0.000, 0.000), Ag at (0.000, 0.000, 0.500) and Au at (0.250, 0.250, 0.250).

Its total magnetization is 0.0 μB per cell. The formation energy is -5.8 kcal/mol of atoms. The total energy comes out at -3.53 eV/atom. The calculation puts the energy above the most stable polymorph in this dataset at 65 meV per atom.



Entry 6:
Compound: CoNi2Cl
Source: Alexandria
Functional: GGA-PBEsol
Structure: relaxed

The structure belongs to space group Pmmm (No. 47); the cell edges are 2.738, 3.073 and 6.268 Å and the angles 90.00°, 90.00° and 90.00°. Symmetry generates all atoms from Co at (0.000, 0.000, 0.000), Ni at (0.500, 0.500, 0.199) and Cl at (0.000, 0.500, 0.500).

Its total magnetization is 3.1 μB per cell. The total energy comes out at -5.28 eV/atom. The calculation puts the energy above the most stable polymorph in this dataset at 0 meV per atom. The uncorrected formation energy is 233 meV per atom.



Entry 7:
Compound: BaLi2Pt
Source: Alexandria
Functional: GGA-PBEsol
Structure: relaxed

The structure belongs to space group I4/mmm (No. 139); the cell edges are 4.365, 4.365 and 8.856 Å and the angles 90.00°, 90.00° and 90.00°. Symmetry generates all atoms from Ba at (0.000, 0.000, 0.000), Li at (0.000, 0.500, 0.250) and Pt at (0.000, 0.000, 0.500).

Its total magnetization is 0.0 μB per cell. The formation energy is -6.2 kcal/mol of atoms. The total energy comes out at -3.53 eV/atom. The calculation puts the energy above the most stable polymorph in this dataset at 107 meV per atom.



Entry 8:
Compound: NaCa3IrO6
Source: Alexandria
Functional: GGA-PBEsol
Structure: relaxed

The structure belongs to space group R-3c (No. 167, hexagonal axes); the cell edges are 9.1770, 9.1770 and 11.1455 Å and the angles 90.00°, 90.00° and 120.00°. Symmetry generates all atoms from Na at (0.0000, 0.0000, 0.2500), Ca at (0.0000, 0.3564, 0.2500), Ir at (0.0000, 0.0000, 0.0000) and O at (0.0310, 0.1911, 0.3991).

Its total magnetization is 12.1 μB per cell. The total energy comes out at -6.62 eV/atom. The uncorrected formation energy is -2154 meV per atom.



Entry 9:
Compound: SrBe2Br2
Source: Alexandria
Functional: GGA-PBEsol
Structure: relaxed

The structure belongs to space group I4/mmm (No. 139); the cell edges are 3.443, 3.443 and 21.114 Å and the angles 90.00°, 90.00° and 90.00°. Symmetry generates all atoms from Sr at (0.000, 0.000, 0.000), Be at (0.000, 0.500, 0.250) and Br at (0.000, 0.000, 0.414).

Its total magnetization is 0.0 μB per cell. The total energy comes out at -3.05 eV/atom. The uncorrected formation energy is -337 meV per atom.



Entry 10:
Compound: ReIBr2
Source: Alexandria
Functional: GGA-PBEsol
Structure: relaxed

The structure belongs to space group I-42d (No. 122); the cell edges are 7.388, 7.388 and 8.622 Å and the angles 90.00°, 90.00° and 90.00°. Symmetry generates all atoms from Re at (0.000, 0.000, 0.000), I at (0.000, 0.000, 0.500) and Br at (0.142, 0.750, 0.125).

Its total magnetization is 0.0 μB per cell. The total energy comes out at -3.98 eV/atom. The uncorrected formation energy is 734 meV per atom.



Entry 11:
Compound: Ni3W3C
Source: Alexandria
Functional: GGA-PBEsol
Structure: relaxed

The structure belongs to space group Fd-3m (No. 227, origin choice 2); the cell edges are 10.966, 10.966 and 10.966 Å and the angles 90.00°, 90.00° and 90.00°. Symmetry generates all atoms from Ni at (0.000, 0.000, 0.000), Ni at (0.041, 0.041, 0.209), W at (0.082, 0.375, 0.875) and C at (0.000, 0.000, 0.500).

Its total magnetization is 0.0 μB per cell. The formation energy is -1.9 kcal/mol of atoms. The total energy comes out at -10.01 eV/atom.



Entry 12:
Compound: KCaRh2
Source: Alexandria
Functional: GGA-PBEsol
Structure: relaxed

The structure belongs to space group Fm-3m (No. 225); the cell edges are 6.811, 6.811 and 6.811 Å and the angles 90.00°, 90.00° and 90.00°. Symmetry generates all atoms from K at (0.000, 0.000, 0.000), Ca at (0.000, 0.000, 0.500) and Rh at (0.250, 0.250, 0.250).

Its total magnetization is 0.0 μB per cell. The formation energy is 14.7 kcal/mol of atoms. The total energy comes out at -4.25 eV/atom. The calculation puts the energy above the most stable polymorph in this dataset at 449 meV per atom.